# FeC2Se

A crystal of FeC2Se relaxed with PBEsol (meta-GGA SCAN, Alexandria via LeMat-Bulk).

Computed properties:
- E (eV/atom) = -13.359

a = 4.5755 Å, b = 4.5755 Å, c = 5.4226 Å
α = 114.95°, β = 114.95°, γ = 90.00°
Element x y z (fractional)
Fe 0.5000 0.5000 0.0000
C 0.4157 0.8750 0.2500
Se 0.0000 0.0000 0.0000
Fe 0.7500 0.2500 0.5000
C 0.6250 0.5843 0.7500
C 0.1250 0.1657 0.7500
C 0.8343 0.3750 0.2500
Se 0.2500 0.7500 0.5000

---

# Fe2SiC

A crystal of Fe2SiC relaxed with PBEsol (meta-GGA SCAN, Alexandria via LeMat-Bulk).

Computed properties:
- E (eV/atom) = -13.418

a = 4.8880 Å, b = 5.2683 Å, c = 4.8880 Å
α = 62.36°, β = 90.00°, γ = 117.64°
Element x y z (fractional)
Fe 0.3750 0.2500 0.2043
Si 0.0000 0.0000 0.0000
Fe 0.5457 0.7500 0.3750
Fe 0.2043 0.7500 0.8750
Si 0.7500 0.5000 0.7500
C 0.2500 0.5000 0.2500
Fe 0.8750 0.2500 0.5457
C 0.5000 0.0000 0.5000

---

# FeSiC3

A crystal of FeSiC3 relaxed with PBEsol (meta-GGA SCAN, Alexandria via LeMat-Bulk).

Computed properties:
- E (eV/atom) = -9.462

a = 3.7030 Å, b = 3.7030 Å, c = 3.7030 Å
α = 90.00°, β = 90.00°, γ = 90.00°
Element x y z (fractional)
C 0.5000 0.0000 0.0000
Fe 0.0000 0.0000 0.0000
Si 0.5000 0.5000 0.5000
C 0.0000 0.0000 0.5000
C 0.0000 0.5000 0.0000

---

# Sm2Fe2Si2C

A crystal of Sm2Fe2Si2C relaxed with PBEsol (meta-GGA SCAN, Alexandria via LeMat-Bulk).

Computed properties:
- E (eV/atom) = -22.783

a = 3.9395 Å, b = 5.6454 Å, c = 5.6891 Å
α = 73.82°, β = 69.74°, γ = 69.58°
Element x y z (fractional)
Sm 0.5598 0.1766 0.7038
Si 0.1676 0.3919 0.2729
Fe 0.8009 0.3064 0.0918
Sm 0.4402 0.8234 0.2962
C 0.0000 0.0000 0.0000
Fe 0.1991 0.6936 0.9082
Si 0.8324 0.6081 0.7271

---

# UFe2SiC

A crystal of UFe2SiC relaxed with PBEsol (meta-GGA SCAN, Alexandria via LeMat-Bulk).

Computed properties:
- E (eV/atom) = -32.188

a = 3.6623 Å, b = 5.6004 Å, c = 6.4301 Å
α = 90.00°, β = 90.00°, γ = 109.08°
Last column: magnetic moment on the atom in μB.
Element x y z (fractional)
C 0.0000 0.0000 0.0000  0.01
C 0.0000 0.0000 0.5000  0.01
Fe 0.8359 0.6718 0.5523  -0.44
Fe 0.1641 0.3282 0.4477  -0.44
Si 0.7192 0.4385 0.2500  0.02
Fe 0.1641 0.3282 0.0523  -0.44
U 0.4382 0.8764 0.2500  1.31
U 0.5618 0.1236 0.7500  1.31
Si 0.2808 0.5615 0.7500  0.02
Fe 0.8359 0.6718 0.9477  -0.44

---

# YFe2SiC

A crystal of YFe2SiC relaxed with PBEsol (meta-GGA SCAN, Alexandria via LeMat-Bulk).

Computed properties:
- E (eV/atom) = -17.314

a = 3.7179 Å, b = 5.4771 Å, c = 6.6331 Å
α = 90.00°, β = 90.00°, γ = 109.84°
Last column: magnetic moment on the atom in μB.
Element x y z (fractional)
Fe 0.1654 0.3307 0.0635  0.98
Fe 0.1654 0.3307 0.4365  0.98
Fe 0.8346 0.6693 0.5635  0.98
Si 0.7297 0.4593 0.2500  -0.08
Y 0.5512 0.1025 0.7500  -0.06
C 0.0000 0.0000 0.5000  -0.10
C 0.0000 0.0000 0.0000  -0.10
Fe 0.8346 0.6693 0.9365  0.98
Si 0.2703 0.5407 0.7500  -0.08
Y 0.4488 0.8975 0.2500  -0.06

---

E of number 3 (FeSiC3)?
-9.462 eV/atom

---

Among the records above, which one has the highest E?
FeSiC3

---

Which value of E does entry 5 give?
-32.188 eV/atom